Here is an optimized crystal structure of Ni6Pd2N from the Alexandria database. Energies are from GGA-PBE.

Cell lengths 5.245, 5.245, 5.245 Å; angles 60.00, 60.00, 60.00 degrees
Element x y z (fractional)
Ni 0.245 0.245 0.755
Ni 0.245 0.755 0.245
Ni 0.245 0.755 0.755
Ni 0.755 0.245 0.245
Ni 0.755 0.245 0.755
Ni 0.755 0.755 0.245
Pd 0.250 0.250 0.250
Pd 0.750 0.750 0.750
N 0.500 0.500 0.500

## Properties
Energy relative to the elements, uncorrected = 0.0461 eV per atom
Raw total energy = -5.89 eV per atom
Symmetry = Fm-3m, No. 225


Here is an optimized crystal structure of NiPd2N from the Alexandria database. Energies are from GGA-PBE.

Cell lengths 6.122, 6.122, 6.122 Å; angles 130.60, 130.60, 72.45 degrees
Element x y z (fractional)
Ni 0.000 0.000 0.000
Ni 0.750 0.250 0.500
Pd 0.212 0.625 0.087
Pd 0.375 0.462 0.587
Pd 0.538 0.125 0.913
Pd 0.875 0.788 0.413
N 0.250 0.750 0.500
N 0.500 0.500 0.000

## Properties
Energy relative to the elements, uncorrected = 0.8657 eV per atom
Raw total energy = -5.26 eV per atom
Symmetry = I-42d, No. 122


Here is an optimized crystal structure of Ni2PdPtN from the Alexandria database. Energies are from GGA-PBE.

Cell lengths 3.822, 3.822, 4.169 Å; angles 90.00, 90.00, 90.00 degrees
Element x y z (fractional)
Ni 0.000 0.500 0.000
Ni 0.500 0.000 0.000
Pd 0.000 0.000 0.500
Pt 0.500 0.500 0.500
N 0.500 0.500 0.000

## Properties
Energy relative to the elements, uncorrected = 0.1631 eV per atom
Raw total energy = -6.06 eV per atom
Symmetry = P4/mmm, No. 123
Offset from the most stable computed form = 0.006 eV per atom


Here is an optimized crystal structure of NiPd2PtN from the Alexandria database. Energies are from GGA-PBE.

Cell lengths 4.274, 4.274, 3.611 Å; angles 90.00, 90.00, 90.00 degrees
Element x y z (fractional)
Ni 0.000 0.000 0.000
Pd 0.000 0.500 0.500
Pd 0.500 0.000 0.500
Pt 0.500 0.500 0.000
N 0.000 0.000 0.500

## Properties
Energy relative to the elements, uncorrected = 0.2244 eV per atom
Raw total energy = -5.88 eV per atom
Symmetry = P4/mmm, No. 123